1.
This record from Alexandria describes an optimized crystal structure of TaS2Br. The functional is GGA-PBE.

a b c (Å): 7.3626 7.3626 7.6730
angles (deg): 90.00 90.00 153.02
Element x y z (fractional)
Ta1 0.2398 0.7602 0.7500
Ta2 0.7602 0.2398 0.2500
S1 0.1753 0.8247 0.0721
S2 0.1753 0.8247 0.4279
S3 0.8247 0.1753 0.5721
S4 0.8247 0.1753 0.9279
Br1 0.4073 0.5927 0.2500
Br2 0.5927 0.4073 0.7500

- Density: 5.72 g/cm³
- Crystal system: orthorhombic
- Offset from the most stable computed form: 0 meV per atom
- Uncorrected formation energy: -3.5 eV per formula unit

***

2.
This record from Alexandria describes an optimized crystal structure of AlFeSiNi. The functional is GGA-PBE.

a b c (Å): 4.0091 4.0091 4.0091
angles (deg): 60.00 60.00 60.00
Element x y z (fractional)
Al1 0.0000 0.0000 0.0000
Fe1 0.2500 0.2500 0.2500
Si1 0.5000 0.5000 0.5000
Ni1 0.7500 0.7500 0.7500

- Density: 6.18 g/cm³
- Crystal system: cubic
- Uncorrected formation energy: -1.8 eV per formula unit
- D(E_F): 1.32 states/eV/cell

***

3.
This record from Alexandria describes an optimized crystal structure of Li3LaGa3. The functional is GGA-PBE.

a b c (Å): 7.3760 4.4771 9.3941
angles (deg): 90.00 108.00 90.00
Element x y z (fractional)
Li1 0.0360 0.2500 0.2569
Li2 0.1871 0.2500 0.9418
Li3 0.2756 0.7500 0.2909
Li4 0.7244 0.2500 0.7091
Li5 0.8129 0.7500 0.0582
Li6 0.9640 0.7500 0.7431
La1 0.3816 0.7500 0.7103
La2 0.6184 0.2500 0.2897
Ga1 0.0505 0.2500 0.5837
Ga2 0.3610 0.2500 0.4793
Ga3 0.4190 0.7500 0.0503
Ga4 0.5810 0.2500 0.9497
Ga5 0.6390 0.7500 0.5207
Ga6 0.9495 0.7500 0.4163

- Density: 4.15 g/cm³
- Crystal system: monoclinic
- Energy relative to the elements: -2.31 eV per formula unit
- Offset from the most stable computed form: 0 meV per atom
- D(E_F): 8.78 states/eV/cell

***

4.
This record from Alexandria describes an optimized crystal structure of Ba5Mg3. The functional is GGA-PBE.

a b c (Å): 4.3808 4.3808 19.8687
angles (deg): 90.00 90.00 90.00
Element x y z (fractional)
Ba1 0.0000 0.0000 0.0000
Ba2 0.0000 0.0000 0.2183
Ba3 0.0000 0.0000 0.7817
Ba4 0.5000 0.5000 0.3926
Ba5 0.5000 0.5000 0.6074
Mg1 0.0000 0.0000 0.5000
Mg2 0.5000 0.5000 0.1106
Mg3 0.5000 0.5000 0.8894

- Density: 3.31 g/cm³
- Crystal system: tetragonal
- Energy relative to the elements: -0.30 eV per formula unit
- Offset from the most stable computed form: 0 meV per atom
- D(E_F): 11.59 states/eV/cell

***

5.
This record from Alexandria describes an optimized crystal structure of Cs2K5Na3. The functional is GGA-PBE.

a b c (Å): 20.2823 20.2823 10.4620
angles (deg): 90.00 90.00 161.22
Element x y z (fractional)
Cs1 0.0209 0.9791 0.5000
Cs2 0.3234 0.6766 0.5562
Cs3 0.6766 0.3234 0.0562
Cs4 0.9791 0.0209 0.0000
K1 0.0975 0.9025 0.8720
K2 0.2050 0.7950 0.7507
K3 0.2097 0.7903 0.3433
K4 0.3720 0.6280 0.0410
K5 0.4417 0.5583 0.6739
K6 0.5583 0.4417 0.1739
K7 0.6280 0.3720 0.5410
K8 0.7903 0.2097 0.8433
K9 0.7950 0.2050 0.2507
K10 0.9025 0.0975 0.3720
Na1 0.1131 0.8869 0.2699
Na2 0.2692 0.7308 0.0448
Na3 0.4587 0.5413 0.2848
Na4 0.5413 0.4587 0.7848
Na5 0.7308 0.2692 0.5448
Na6 0.8869 0.1131 0.7699

- Density: 1.27 g/cm³
- Crystal system: orthorhombic
- Energy relative to the elements: 0.24 eV per formula unit
- D(E_F): 12.83 states/eV/cell

***

6.
This record from Alexandria describes an optimized crystal structure of Li2CuMo. The functional is GGA-PBE.

a b c (Å): 4.1892 4.1892 4.1892
angles (deg): 60.00 60.00 60.00
Element x y z (fractional)
Li1 0.2500 0.2500 0.2500
Li2 0.7500 0.7500 0.7500
Cu1 0.0000 0.0000 0.0000
Mo1 0.5000 0.5000 0.5000

- Density: 5.54 g/cm³
- Crystal system: cubic
- Energy relative to the elements: 2.80 eV per formula unit
- Offset from the most stable computed form: 500 meV per atom
- D(E_F): 2.38 states/eV/cell

***

7.
This record from Alexandria describes an optimized crystal structure of Sc2TlAgPb. The functional is GGA-PBE.

a b c (Å): 5.4826 5.4826 5.7241
angles (deg): 90.00 90.00 90.00
Element x y z (fractional)
Sc1 0.0000 0.5000 0.0000
Sc2 0.5000 0.0000 0.0000
Tl1 0.0000 0.0000 0.5000
Ag1 0.5000 0.5000 0.5000
Pb1 0.0000 0.0000 0.0000

- Density: 5.88 g/cm³
- Crystal system: tetragonal
- Energy relative to the elements: 3.41 eV per formula unit
- D(E_F): 6.29 states/eV/cell

***

8.
This record from Alexandria describes an optimized crystal structure of PrPaSnHg. The functional is GGA-PBE.

a b c (Å): 5.3971 5.3971 5.3971
angles (deg): 60.00 60.00 60.00
Element x y z (fractional)
Pr1 0.0000 0.0000 0.0000
Pa1 0.5000 0.5000 0.5000
Sn1 0.2500 0.2500 0.2500
Hg1 0.7500 0.7500 0.7500

- Density: 10.33 g/cm³
- Crystal system: cubic
- Energy relative to the elements: -0.70 eV per formula unit
- D(E_F): 9.54 states/eV/cell

***

9.
This record from Alexandria describes an optimized crystal structure of TlP. The functional is GGA-PBE.

a b c (Å): 7.0606 7.0606 6.6499
angles (deg): 91.24 91.24 27.86
Element x y z (fractional)
Tl1 0.0000 0.0000 0.0000
Tl2 0.0794 0.0794 0.5076
Tl3 0.2788 0.2788 0.8629
P1 0.3945 0.3945 0.3315
P2 0.6715 0.6715 0.1774
P3 0.7913 0.7913 0.4048

- Density: 7.57 g/cm³
- Crystal system: monoclinic
- Energy relative to the elements: 0.24 eV per formula unit
- D(E_F): 1.67 states/eV/cell

***

10.
This record from Alexandria describes an optimized crystal structure of Hg4As. The functional is GGA-PBE.

a b c (Å): 5.6091 5.6091 5.6091
angles (deg): 90.00 90.00 90.00
Element x y z (fractional)
Hg1 0.0000 0.0000 0.0000
Hg2 0.0000 0.5000 0.5000
Hg3 0.5000 0.0000 0.5000
Hg4 0.5000 0.5000 0.0000
As1 0.5000 0.5000 0.5000

- Density: 8.25 g/cm³
- Crystal system: cubic
- Energy relative to the elements: 0.54 eV per formula unit
- Offset from the most stable computed form: 0 meV per atom
- D(E_F): 2.33 states/eV/cell

***

11.
This record from Alexandria describes an optimized crystal structure of GdAg2Ge. The functional is GGA-PBE.

a b c (Å): 4.2340 4.2340 4.7343
angles (deg): 90.00 90.00 90.00
Element x y z (fractional)
Gd1 0.0000 0.0000 0.0000
Ag1 0.0000 0.5000 0.5000
Ag2 0.5000 0.0000 0.5000
Ge1 0.5000 0.5000 0.0000

- Density: 8.72 g/cm³
- Crystal system: tetragonal
- Energy relative to the elements: -1.03 eV per formula unit
- D(E_F): 2.16 states/eV/cell

***

12.
This record from Alexandria describes an optimized crystal structure of Na2AcGeO4. The functional is GGA-PBE.

a b c (Å): 6.1410 6.1410 10.9396
angles (deg): 90.00 90.00 144.10
Element x y z (fractional)
Na1 0.1180 0.8820 0.5382
Na2 0.1180 0.8820 0.9618
Na3 0.8820 0.1180 0.0382
Na4 0.8820 0.1180 0.4618
Ac1 0.4164 0.5836 0.7500
Ac2 0.5836 0.4164 0.2500
Ge1 0.3151 0.6849 0.2500
Ge2 0.6849 0.3151 0.7500
O1 0.1184 0.8816 0.7500
O2 0.2031 0.7969 0.1361
O3 0.2031 0.7969 0.3639
O4 0.5000 0.5000 0.0000
O5 0.5000 0.5000 0.5000
O6 0.7969 0.2031 0.6361
O7 0.7969 0.2031 0.8639
O8 0.8816 0.1184 0.2500

- Density: 5.62 g/cm³
- Crystal system: orthorhombic
- Uncorrected formation energy: -14.9 eV per formula unit
- D(E_F): 1.81 states/eV/cell

***

13.
This record from Alexandria describes an optimized crystal structure of FeCo4. The functional is GGA-PBE.

a b c (Å): 6.1095 6.1095 2.4563
angles (deg): 99.93 99.93 38.37
Element x y z (fractional)
Fe1 0.0000 0.0000 0.0000
Co1 0.1995 0.1995 0.8727
Co2 0.3972 0.3972 0.6023
Co3 0.6028 0.6028 0.3977
Co4 0.8005 0.8005 0.1273

- Density: 8.65 g/cm³
- Crystal system: monoclinic
- Energy relative to the elements: 0.19 eV per formula unit
- Offset from the most stable computed form: 7 meV per atom
- D(E_F): 5.72 states/eV/cell